No. 1
Mg2B | PBE | relaxed

Cell and atoms, written as CIF:
```
data_Mg2B
_cell_length_a 3.684
_cell_length_b 3.165
_cell_length_c 8.296
_cell_angle_alpha 90.00
_cell_angle_beta 102.65
_cell_angle_gamma 90.00
_space_group_name_H-M_alt 'P 1 21/m 1'
_space_group_IT_number 11
loop_
_space_group_symop_operation_xyz
'x,y,z'
'-x,-y,-z'
'-x,y+1/2,-z'
'x,-y+1/2,z'
loop_
_atom_site_label
_atom_site_type_symbol
_atom_site_fract_x
_atom_site_fract_y
_atom_site_fract_z
Mg1 Mg 0.079 0.250 0.157
Mg2 Mg 0.307 0.250 0.614
B1 B 0.482 0.250 0.961
```

## Properties
- E_form: 0.15 eV/f.u.
- Density of states at the Fermi level: 0.71 states/eV/f.u.
- Total energy: -3.238 eV/atom

=====

No. 2
AcZn3In4 | PBE | relaxed

Cell and atoms, written as CIF:
```
data_AcZn3In4
_cell_length_a 4.731
_cell_length_b 4.731
_cell_length_c 8.611
_cell_angle_alpha 90.00
_cell_angle_beta 90.00
_cell_angle_gamma 90.00
_space_group_name_H-M_alt 'P 4/m m m'
_space_group_IT_number 123
_space_group_name_Hall '-P 4 2'
loop_
_atom_site_label
_atom_site_type_symbol
_atom_site_fract_x
_atom_site_fract_y
_atom_site_fract_z
Ac1 Ac 0.000 0.000 0.000
Zn1 Zn 0.000 0.000 0.500
Zn2 Zn 0.500 0.500 0.141
In1 In 0.000 0.500 0.319
```

## Properties
- E_form: -1.82 eV/f.u.
- Density of states at the Fermi level: 2.18 states/eV/f.u.
- Total energy: -2.588 eV/atom

=====

No. 3
Pm3NiIr2 | PBE | relaxed

Cell and atoms, written as CIF:
```
data_Pm3NiIr2
_cell_length_a 11.509
_cell_length_b 4.158
_cell_length_c 11.513
_cell_angle_alpha 90.00
_cell_angle_beta 90.00
_cell_angle_gamma 90.00
_space_group_name_H-M_alt 'P n m a'
_space_group_IT_number 62
loop_
_space_group_symop_operation_xyz
'x,y,z'
'-x,-y,-z'
'-x+1/2,-y,z+1/2'
'x+1/2,y,-z+1/2'
'x+1/2,-y+1/2,-z+1/2'
'-x+1/2,y+1/2,z+1/2'
'-x,y+1/2,-z'
'x,-y+1/2,z'
loop_
_atom_site_label
_atom_site_type_symbol
_atom_site_fract_x
_atom_site_fract_y
_atom_site_fract_z
Pm1 Pm 0.052 0.250 0.123
Pm2 Pm 0.120 0.750 0.560
Pm3 Pm 0.208 0.250 0.807
Ni1 Ni 0.127 0.250 0.370
Ir1 Ir 0.018 0.750 0.313
Ir2 Ir 0.187 0.750 0.992
```

## Properties
- E_form: -3.54 eV/f.u.
- Density of states at the Fermi level: 5.01 states/eV/f.u.
- Total energy: -6.883 eV/atom

=====

No. 4
Al5V6Zn | PBE | relaxed

Cell and atoms, written as CIF:
```
data_Al5V6Zn
_cell_length_a 3.894
_cell_length_b 8.169
_cell_length_c 10.659
_cell_angle_alpha 90.00
_cell_angle_beta 90.00
_cell_angle_gamma 90.00
_space_group_name_H-M_alt 'I m m m'
_space_group_IT_number 71
_space_group_name_Hall '-I 2 2'
loop_
_atom_site_label
_atom_site_type_symbol
_atom_site_fract_x
_atom_site_fract_y
_atom_site_fract_z
Al1 Al 0.000 0.000 0.000
Al2 Al 0.000 0.000 0.339
Al3 Al 0.000 0.500 0.331
V1 V 0.000 0.247 0.168
V2 V 0.000 0.255 0.500
Zn1 Zn 0.000 0.500 0.000
```

## Properties
- E_form: -2.37 eV/f.u.
- Density of states at the Fermi level: 7.48 states/eV/f.u.
- Total energy: -6.423 eV/atom

=====

No. 5
ThZrCdAg | PBE | relaxed

Cell and atoms, written as CIF:
```
data_ThZrCdAg
_cell_length_a 7.318
_cell_length_b 7.318
_cell_length_c 7.318
_cell_angle_alpha 90.00
_cell_angle_beta 90.00
_cell_angle_gamma 90.00
_space_group_name_H-M_alt 'F -4 3 m'
_space_group_IT_number 216
_space_group_name_Hall 'F -4 2 3'
loop_
_atom_site_label
_atom_site_type_symbol
_atom_site_fract_x
_atom_site_fract_y
_atom_site_fract_z
Th1 Th 0.000 0.000 0.000
Zr1 Zr 0.000 0.000 0.500
Cd1 Cd 0.250 0.250 0.750
Ag1 Ag 0.250 0.250 0.250
```

## Properties
- E_form: 0.20 eV/f.u.
- Density of states at the Fermi level: 5.08 states/eV/f.u.
- Total energy: -4.885 eV/atom

=====

No. 6
Li2Tl | PBE | relaxed

Cell and atoms, written as CIF:
```
data_Li2Tl
_cell_length_a 6.648
_cell_length_b 6.648
_cell_length_c 6.648
_cell_angle_alpha 90.00
_cell_angle_beta 90.00
_cell_angle_gamma 90.00
_space_group_name_H-M_alt 'P a -3'
_space_group_IT_number 205
_space_group_name_Hall '-P 2ac 2ab 3'
loop_
_atom_site_label
_atom_site_type_symbol
_atom_site_fract_x
_atom_site_fract_y
_atom_site_fract_z
Li1 Li 0.132 0.132 0.132
Tl1 Tl 0.000 0.000 0.500
```

## Properties
- E_form: 0.19 eV/f.u.
- Density of states at the Fermi level: 2.13 states/eV/f.u.
- Total energy: -2.003 eV/atom

=====

No. 7
NaSmY4S8 | PBE | relaxed

Cell and atoms, written as CIF:
```
data_NaSmY4S8
_cell_length_a 8.1176
_cell_length_b 8.1176
_cell_length_c 20.0717
_cell_angle_alpha 90.00
_cell_angle_beta 90.00
_cell_angle_gamma 120.00
_space_group_name_H-M_alt 'R 3 m'
_space_group_IT_number 160
_space_group_name_Hall 'R 3 -2"'
loop_
_atom_site_label
_atom_site_type_symbol
_atom_site_fract_x
_atom_site_fract_y
_atom_site_fract_z
Na1 Na 0.0000 0.0000 0.0000
Sm1 Sm 0.0000 0.0000 0.3698
Y1 Y 0.0000 0.0000 0.7485
Y2 Y 0.0118 0.5059 0.8754
S1 S 0.0000 0.0000 0.1354
S2 S 0.0000 0.0000 0.6159
S3 S 0.0183 0.5091 0.1281
S4 S 0.1801 0.3602 0.9520
```

## Properties
- Density of states at the Fermi level: 0.00 states/eV/f.u.
- ΔE_f (raw): -1.9546 eV/atom
- Total energy: -6.591 eV/atom

=====

No. 8
LaNdSbP | PBE | relaxed

Cell and atoms, written as CIF:
```
data_LaNdSbP
_cell_length_a 4.3712
_cell_length_b 4.3712
_cell_length_c 21.7765
_cell_angle_alpha 90.00
_cell_angle_beta 90.00
_cell_angle_gamma 120.00
_space_group_name_H-M_alt 'R 3 m'
_space_group_IT_number 160
_space_group_name_Hall 'R 3 -2"'
loop_
_atom_site_label
_atom_site_type_symbol
_atom_site_fract_x
_atom_site_fract_y
_atom_site_fract_z
La1 La 0.0000 0.0000 0.0000
Nd1 Nd 0.0000 0.0000 0.4852
Sb1 Sb 0.0000 0.0000 0.2408
P1 P 0.0000 0.0000 0.7436
```

## Properties
- Density of states at the Fermi level: 0.74 states/eV/f.u.
- ΔE_f (raw): -1.3660 eV/atom
- Total energy: -6.173 eV/atom

=====

No. 9
Cu3SeS | PBE | relaxed

Cell and atoms, written as CIF:
```
data_Cu3SeS
_cell_length_a 3.8542
_cell_length_b 3.8542
_cell_length_c 13.4652
_cell_angle_alpha 90.00
_cell_angle_beta 90.00
_cell_angle_gamma 120.00
_space_group_name_H-M_alt 'P 63 m c'
_space_group_IT_number 186
_space_group_name_Hall 'P 6c -2c'
loop_
_atom_site_label
_atom_site_type_symbol
_atom_site_fract_x
_atom_site_fract_y
_atom_site_fract_z
Cu1 Cu 0.0000 0.0000 0.0000
Cu2 Cu 0.3333 0.6667 0.1239
Cu3 Cu 0.3333 0.6667 0.7881
Se1 Se 0.0000 0.0000 0.2076
S1 S 0.3333 0.6667 0.9545
```

## Properties
- Density of states at the Fermi level: 3.13 states/eV/f.u.
- ΔE_f (raw): -0.1140 eV/atom
- Offset from the most stable computed form: 0 meV per atom
- Total energy: -4.094 eV/atom

=====

No. 10
PmEuInNi | PBE | relaxed

Cell and atoms, written as CIF:
```
data_PmEuInNi
_cell_length_a 7.435
_cell_length_b 7.435
_cell_length_c 7.435
_cell_angle_alpha 90.00
_cell_angle_beta 90.00
_cell_angle_gamma 90.00
_space_group_name_H-M_alt 'F -4 3 m'
_space_group_IT_number 216
_space_group_name_Hall 'F -4 2 3'
loop_
_atom_site_label
_atom_site_type_symbol
_atom_site_fract_x
_atom_site_fract_y
_atom_site_fract_z
Pm1 Pm 0.000 0.000 0.000
Eu1 Eu 0.000 0.000 0.500
In1 In 0.250 0.250 0.250
Ni1 Ni 0.250 0.250 0.750
```

## Properties
- E_form: -0.74 eV/f.u.
- Density of states at the Fermi level: 8.49 states/eV/f.u.
- Total energy: -6.070 eV/atom

=====

No. 11
ScAgPb2Se4 | PBE | relaxed

Cell and atoms, written as CIF:
```
data_ScAgPb2Se4
_cell_length_a 7.231
_cell_length_b 4.139
_cell_length_c 7.291
_cell_angle_alpha 90.00
_cell_angle_beta 109.33
_cell_angle_gamma 90.00
_space_group_name_H-M_alt 'P 1 2/m 1'
_space_group_IT_number 10
loop_
_space_group_symop_operation_xyz
'x,y,z'
'-x,-y,-z'
'-x,y,-z'
'x,-y,z'
loop_
_atom_site_label
_atom_site_type_symbol
_atom_site_fract_x
_atom_site_fract_y
_atom_site_fract_z
Sc1 Sc 0.000 0.000 0.000
Ag1 Ag 0.500 0.500 0.000
Pb1 Pb 0.000 0.500 0.500
Pb2 Pb 0.500 0.000 0.500
Se1 Se 0.228 0.500 0.220
Se2 Se 0.250 0.000 0.783
```

## Properties
- ΔE_f (raw): -0.7532 eV/atom
- Total energy: -4.570 eV/atom

=====

No. 12
La2Be2Ag | PBE | relaxed

Cell and atoms, written as CIF:
```
data_La2Be2Ag
_cell_length_a 6.880
_cell_length_b 6.880
_cell_length_c 4.548
_cell_angle_alpha 90.00
_cell_angle_beta 90.00
_cell_angle_gamma 90.00
_space_group_name_H-M_alt 'P 4/m b m'
_space_group_IT_number 127
_space_group_name_Hall '-P 4 2ab'
loop_
_atom_site_label
_atom_site_type_symbol
_atom_site_fract_x
_atom_site_fract_y
_atom_site_fract_z
La1 La 0.168 0.332 0.000
Be1 Be 0.120 0.620 0.500
Ag1 Ag 0.000 0.000 0.500
```

## Properties
- E_form: 0.39 eV/f.u.
- Density of states at the Fermi level: 4.45 states/eV/f.u.
- Total energy: -3.953 eV/atom

=====

> Which formula does entry 4 have?

Al5V6Zn

=====

> Which value of total energy does entry 3 give?

-6.883 eV/atom

=====

> What is the total energy in the eleventh record?

-4.570 eV/atom

=====

> What is the formula in the eighth record?

LaNdSbP